[1]
# K4AgW3O12 PBE+U relaxed
# Symmetry ... No. 229
# Uncorrected energy ... -124.01 eV per cell
data_K4AgW3O12
_chemical_formula_sum 'K4 Ag1 W3 O12'
_symmetry_space_group_name_H-M 'P 1'
_symmetry_Int_Tables_number 1
_symmetry_space_group_name_Hall 'P 1'
_cell_length_a 7.0663
_cell_length_b 7.0663
_cell_length_c 7.0663
_cell_angle_alpha 109.47
_cell_angle_beta 109.47
_cell_angle_gamma 109.47
loop_
_atom_site_label
_atom_site_fract_x
_atom_site_fract_y
_atom_site_fract_z
W1 0.5000 0.0000 0.5000
O1 0.2729 0.2729 0.0000
O2 0.7271 0.7271 0.0000
K1 0.0000 0.0000 0.5000
O3 0.0000 0.7271 0.7271
O4 0.2500 0.5000 0.7500
O5 0.2729 0.0000 0.2729
K2 0.5000 0.5000 0.5000
Ag1 0.0000 0.0000 0.0000
W2 0.0000 0.5000 0.5000
O6 0.7500 0.5000 0.2500
O7 0.0000 0.2729 0.2729
O8 0.5000 0.2500 0.7500
K3 0.0000 0.5000 0.0000
W3 0.5000 0.5000 0.0000
O9 0.2500 0.7500 0.5000
K4 0.5000 0.0000 0.0000
O10 0.7500 0.2500 0.5000
O11 0.5000 0.7500 0.2500
O12 0.7271 0.0000 0.7271

---

[2]
# KAgWO4 PBE+U relaxed
# Symmetry ... No. 11
# Uncorrected energy ... -83.87 eV per cell
data_KAgWO4
_chemical_formula_sum 'K2 Ag2 W2 O8'
_symmetry_space_group_name_H-M 'P 1'
_symmetry_Int_Tables_number 1
_symmetry_space_group_name_Hall 'P 1'
_cell_length_a 6.1587
_cell_length_b 6.7893
_cell_length_c 6.9521
_cell_angle_alpha 90.00
_cell_angle_beta 109.90
_cell_angle_gamma 90.00
loop_
_atom_site_label
_atom_site_fract_x
_atom_site_fract_y
_atom_site_fract_z
W1 0.6900 0.2500 0.6319
O1 0.6607 0.2500 0.3606
O2 0.3393 0.7500 0.6394
W2 0.3100 0.7500 0.3681
O3 0.4082 0.2500 0.6644
Ag1 0.9506 0.7500 0.5868
O4 0.5918 0.7500 0.3356
O5 0.8521 0.0346 0.7597
K1 0.2687 0.2500 0.0077
Ag2 0.0494 0.2500 0.4132
O6 0.8521 0.4654 0.7597
K2 0.7313 0.7500 0.9923
O7 0.1479 0.9654 0.2403
O8 0.1479 0.5346 0.2403

---

[3]
# KAg2WO4 PBE+U relaxed
# Symmetry ... No. 42
# Uncorrected energy ... -42.92 eV per cell
data_KAg2WO4
_chemical_formula_sum 'K1 Ag2 W1 O4'
_symmetry_space_group_name_H-M 'P 1'
_symmetry_Int_Tables_number 1
_symmetry_space_group_name_Hall 'P 1'
_cell_length_a 5.6220
_cell_length_b 5.6220
_cell_length_c 6.3670
_cell_angle_alpha 116.14
_cell_angle_beta 116.14
_cell_angle_gamma 90.12
loop_
_atom_site_label
_atom_site_fract_x
_atom_site_fract_y
_atom_site_fract_z
W1 0.4998 0.4998 0.9996
Ag1 0.2503 0.7503 0.5006
Ag2 0.7503 0.2503 0.5006
O1 0.2049 0.2049 0.7842
O2 0.5793 0.5793 0.7842
O3 0.4207 0.7942 0.2149
O4 0.7942 0.4207 0.2149
K1 0.0008 0.0008 0.0016

---

[4]
# KAgW2O PBE+U relaxed
# Symmetry ... No. 123
# Uncorrected energy ... -15.80 eV per cell
data_KAgW2O
_chemical_formula_sum 'K1 Ag1 W2 O1'
_symmetry_space_group_name_H-M 'P 1'
_symmetry_Int_Tables_number 1
_symmetry_space_group_name_Hall 'P 1'
_cell_length_a 5.5372
_cell_length_b 4.3811
_cell_length_c 5.5372
_cell_angle_alpha 90.00
_cell_angle_beta 90.00
_cell_angle_gamma 90.00
loop_
_atom_site_label
_atom_site_fract_x
_atom_site_fract_y
_atom_site_fract_z
K1 0.5000 0.5000 0.5000
W1 0.5000 0.0000 0.0000
O1 0.0000 0.5000 0.0000
W2 0.0000 0.0000 0.5000
Ag1 0.0000 0.0000 0.0000